[1]
# CsBrNF2 | Alexandria | PBE-GGA | optimized geometry
# Energy relative to the elements, uncorrected = 400 meV per atom
# Magnetic moment = 4.9 μB per formula unit
data_CsBrNF2
_chemical_formula_sum 'Cs1 Br1 N1 F2'
_cell_length_a 5.073
_cell_length_b 5.073
_cell_length_c 5.349
_cell_angle_alpha 90.00
_cell_angle_beta 90.00
_cell_angle_gamma 90.00
_symmetry_space_group_name_H-M 'P 4/m m m'
_symmetry_Int_Tables_number 123
_symmetry_space_group_name_Hall '-P 4 2'
loop_
_atom_site_label
_atom_site_fract_x
_atom_site_fract_y
_atom_site_fract_z
Cs1 0.000 0.000 0.000
Br1 0.500 0.500 0.500
N1 0.000 0.000 0.500
F1 0.000 0.500 0.000

=====

[2]
# Pm2Ho3In3 | Alexandria | PBE-GGA | optimized geometry
# Magnetic moment = 0.0 μB per formula unit
# E_form = -33.7 kJ/mol of atoms
data_Pm2Ho3In3
_chemical_formula_sum 'Pm2 Ho3 In3'
_cell_length_a 4.909
_cell_length_b 4.965
_cell_length_c 9.234
_cell_angle_alpha 90.00
_cell_angle_beta 90.00
_cell_angle_gamma 90.00
_symmetry_space_group_name_H-M 'P m m m'
_symmetry_Int_Tables_number 47
_symmetry_space_group_name_Hall '-P 2 2'
loop_
_atom_site_label
_atom_site_fract_x
_atom_site_fract_y
_atom_site_fract_z
Pm1 0.000 0.000 0.243
Ho1 0.500 0.000 0.500
Ho2 0.500 0.500 0.232
In1 0.000 0.500 0.000
In2 0.000 0.500 0.500
In3 0.500 0.000 0.000

=====

| no. | V (Å³ per cell) | ΔE to the lowest computed polymorph (eV per atom) |
| --- | --- | --- |
| 1 | 137.6 | 0.831 |
| 2 | 225.1 | 0.000 |